Entry 1:
A plane-wave DFT calculation with PBE-GGA was carried out for an optimized crystal structure of K2ErUTe4.

Structure (POSCAR):
```
K2ErUTe4
1.0
7.791 0.000 0.000
0.000 4.489 0.000
-2.592 0.000 8.267
K Er U Te
2 1 1 4
Direct
0.000 0.000 0.000 K
0.500 0.500 0.000 K
0.000 0.500 0.500 Er
0.500 0.000 0.500 U
0.231 0.000 0.709 Te
0.258 0.500 0.289 Te
0.742 0.500 0.711 Te
0.769 0.000 0.291 Te
```

density	5.71	Mg/m³
space group	No. 10
ΔE_f (raw)	-1.10	eV/atom

***

Entry 2:
A plane-wave DFT calculation with PBE-GGA was carried out for an optimized crystal structure of Sr3Hg7Au4.

Structure (POSCAR):
```
Sr3Hg7Au4
1.0
8.808 -2.342 0.000
8.808 2.342 0.000
-6.006 0.000 8.801
Sr Hg Au
3 7 4
Direct
0.000 0.000 0.000 Sr
0.306 0.306 0.297 Sr
0.694 0.694 0.703 Sr
0.000 0.000 0.500 Hg
0.160 0.160 0.436 Hg
0.323 0.323 0.977 Hg
0.494 0.494 0.698 Hg
0.506 0.506 0.302 Hg
0.677 0.677 0.023 Hg
0.840 0.840 0.564 Hg
0.121 0.121 0.831 Au
0.345 0.345 0.735 Au
0.655 0.655 0.265 Au
0.879 0.879 0.169 Au
```

density	11.23	Mg/m³
space group	No. 12
energy relative to the elements	-0.4328	eV/atom

***

Entry 3:
A plane-wave DFT calculation with PBE-GGA was carried out for an optimized crystal structure of Mn2IrPt.

Structure (POSCAR):
```
Mn2IrPt
1.0
2.849 0.000 0.000
0.000 4.330 0.000
0.000 0.000 4.584
Mn Ir Pt
2 1 1
Direct
0.000 0.000 0.000 Mn
0.000 0.500 0.356 Mn
0.500 0.000 0.488 Ir
0.500 0.500 0.857 Pt
```

distance to the lowest polymorph of the same formula	0	meV/atom
density	14.60	Mg/m³
space group	No. 25
energy relative to the elements	-0.2480	eV/atom

***

Entry 4:
A plane-wave DFT calculation with PBE-GGA was carried out for an optimized crystal structure of Tm4PRhS2.

Structure (POSCAR):
```
Tm4PRhS2
1.0
6.813 0.000 0.000
0.000 3.872 0.000
-2.196 0.000 6.522
Tm P Rh S
4 1 1 2
Direct
0.244 0.000 0.241 Tm
0.249 0.500 0.761 Tm
0.751 0.500 0.239 Tm
0.756 0.000 0.759 Tm
0.500 0.000 0.000 P
0.000 0.500 0.000 Rh
0.000 0.000 0.500 S
0.500 0.500 0.500 S
```

density	8.43	Mg/m³
space group	No. 10
ΔE_f (raw)	-1.53	eV/atom

***

Entry 5:
A plane-wave DFT calculation with PBE-GGA was carried out for an optimized crystal structure of Li3Ce3CuSe8.

Structure (POSCAR):
```
Li3Ce3CuSe8
1.0
6.776 -4.118 0.000
6.776 4.118 0.000
-4.425 0.000 6.620
Li Ce Cu Se
3 3 1 8
Direct
0.000 0.000 0.000 Li
0.000 0.500 0.500 Li
0.500 0.000 0.500 Li
0.000 0.500 0.000 Ce
0.500 0.000 0.000 Ce
0.500 0.500 0.500 Ce
0.000 0.000 0.500 Cu
0.225 0.225 0.721 Se
0.243 0.243 0.251 Se
0.245 0.751 0.745 Se
0.249 0.755 0.255 Se
0.751 0.245 0.745 Se
0.755 0.249 0.255 Se
0.757 0.757 0.749 Se
0.775 0.775 0.279 Se
```

density	5.11	Mg/m³
space group	No. 12
ΔE_f (raw)	-1.28	eV/atom

***

Entry 6:
A plane-wave DFT calculation with PBE-GGA was carried out for an optimized crystal structure of RbHg3O.

Structure (POSCAR):
```
RbHg3O
1.0
5.392 0.000 0.000
0.000 5.392 0.000
0.000 0.000 5.392
Rb Hg O
1 3 1
Direct
0.000 0.000 0.000 Rb
0.000 0.500 0.500 Hg
0.500 0.000 0.500 Hg
0.500 0.500 0.000 Hg
0.500 0.500 0.500 O
```

distance to the lowest polymorph of the same formula	0	meV/atom
density	7.45	Mg/m³
space group	No. 221
ΔE_f (raw)	0.00	eV/atom

***

Entry 7:
A plane-wave DFT calculation with PBE-GGA was carried out for an optimized crystal structure of In3PdPb.

Structure (POSCAR):
```
In3PdPb
1.0
5.220 0.000 0.000
0.000 5.220 0.000
0.000 0.000 5.220
In Pd Pb
3 1 1
Direct
0.000 0.000 0.500 In
0.000 0.500 0.000 In
0.500 0.000 0.000 In
0.000 0.000 0.000 Pd
0.500 0.500 0.500 Pb
```

distance to the lowest polymorph of the same formula	0	meV/atom
density	7.68	Mg/m³
space group	No. 221
energy relative to the elements	-0.0315	eV/atom

***

Entry 8:
A plane-wave DFT calculation with PBE-GGA was carried out for an optimized crystal structure of DyZnGePt3.

Structure (POSCAR):
```
DyZnGePt3
1.0
3.410 -5.931 0.000
3.410 5.931 0.000
0.000 0.000 5.611
Dy Zn Ge Pt
2 2 2 6
Direct
0.198 0.802 0.750 Dy
0.802 0.198 0.250 Dy
0.443 0.557 0.750 Zn
0.557 0.443 0.250 Zn
0.131 0.869 0.250 Ge
0.869 0.131 0.750 Ge
0.209 0.209 0.000 Pt
0.209 0.209 0.500 Pt
0.332 0.668 0.250 Pt
0.668 0.332 0.750 Pt
0.791 0.791 0.000 Pt
0.791 0.791 0.500 Pt
```

density	12.96	Mg/m³
space group	No. 63
energy relative to the elements	-0.6377	eV/atom

***

Entry 9:
A plane-wave DFT calculation with PBE-GGA was carried out for an optimized crystal structure of Na2URuO5.

Structure (POSCAR):
```
Na2URuO5
1.0
5.854 0.000 0.000
0.000 5.854 0.000
0.000 0.000 6.181
Na U Ru O
4 2 2 10
Direct
0.160 0.340 0.000 Na
0.340 0.840 0.000 Na
0.660 0.160 0.000 Na
0.840 0.660 0.000 Na
0.000 0.000 0.500 U
0.500 0.500 0.500 U
0.000 0.500 0.500 Ru
0.500 0.000 0.500 Ru
0.000 0.000 0.000 O
0.186 0.686 0.305 O
0.186 0.686 0.695 O
0.314 0.186 0.305 O
0.314 0.186 0.695 O
0.500 0.500 0.000 O
0.686 0.814 0.305 O
0.686 0.814 0.695 O
0.814 0.314 0.305 O
0.814 0.314 0.695 O
```

density	7.29	Mg/m³
space group	No. 127
ΔE_f (raw)	-1.48	eV/atom

***

Entry 10:
A plane-wave DFT calculation with PBE-GGA was carried out for an optimized crystal structure of TlSbCl2F.

Structure (POSCAR):
```
TlSbCl2F
1.0
5.741 0.000 0.000
0.000 5.741 0.000
0.000 0.000 4.416
Tl Sb Cl F
1 1 2 1
Direct
0.000 0.000 0.000 Tl
0.500 0.500 0.500 Sb
0.000 0.500 0.500 Cl
0.500 0.000 0.500 Cl
0.500 0.500 0.000 F
```

density	4.75	Mg/m³
space group	No. 123
ΔE_f (raw)	-1.03	eV/atom

***

Entry 11:
A plane-wave DFT calculation with PBE-GGA was carried out for an optimized crystal structure of LiMg2Sn4.

Structure (POSCAR):
```
LiMg2Sn4
1.0
14.585 0.000 0.000
0.000 3.348 0.000
-4.130 0.000 7.050
Li Mg Sn
2 4 8
Direct
0.000 0.000 0.000 Li
0.500 0.500 0.000 Li
0.240 0.000 0.299 Mg
0.260 0.500 0.701 Mg
0.740 0.500 0.299 Mg
0.760 0.000 0.701 Mg
0.067 0.000 0.409 Sn
0.138 0.500 0.920 Sn
0.362 0.000 0.080 Sn
0.433 0.500 0.591 Sn
0.567 0.500 0.409 Sn
0.638 0.000 0.920 Sn
0.862 0.500 0.080 Sn
0.933 0.000 0.591 Sn
```

distance to the lowest polymorph of the same formula	27	meV/atom
density	5.12	Mg/m³
space group	No. 12
energy relative to the elements	-0.0859	eV/atom

***

Entry 12:
A plane-wave DFT calculation with PBE-GGA was carried out for an optimized crystal structure of VIr2Ru.

Structure (POSCAR):
```
VIr2Ru
1.0
6.151 0.000 0.000
0.000 6.151 0.000
0.000 0.000 6.151
V Ir Ru
4 8 4
Direct
0.000 0.000 0.000 V
0.000 0.500 0.500 V
0.500 0.000 0.500 V
0.500 0.500 0.000 V
0.250 0.250 0.250 Ir
0.250 0.250 0.750 Ir
0.250 0.750 0.250 Ir
0.250 0.750 0.750 Ir
0.750 0.250 0.250 Ir
0.750 0.250 0.750 Ir
0.750 0.750 0.250 Ir
0.750 0.750 0.750 Ir
0.000 0.000 0.500 Ru
0.000 0.500 0.000 Ru
0.500 0.000 0.000 Ru
0.500 0.500 0.500 Ru
```

distance to the lowest polymorph of the same formula	568	meV/atom
density	15.31	Mg/m³
space group	No. 225
energy relative to the elements	0.1729	eV/atom

***

Entry 13:
A plane-wave DFT calculation with PBE-GGA was carried out for an optimized crystal structure of LiY2Al4Pt3.

Structure (POSCAR):
```
LiY2Al4Pt3
1.0
4.145 0.000 0.000
0.000 4.145 0.000
0.000 0.000 10.826
Li Y Al Pt
1 2 4 3
Direct
0.000 0.000 0.000 Li
0.000 0.500 0.744 Y
0.500 0.000 0.256 Y
0.000 0.000 0.500 Al
0.000 0.500 0.132 Al
0.500 0.000 0.868 Al
0.500 0.500 0.500 Al
0.000 0.500 0.363 Pt
0.500 0.000 0.637 Pt
0.500 0.500 0.000 Pt
```

density	7.84	Mg/m³
space group	No. 115
energy relative to the elements	-0.9614	eV/atom

***

Entry 14:
A plane-wave DFT calculation with PBE-GGA was carried out for an optimized crystal structure of TlFeRuCl6.

Structure (POSCAR):
```
TlFeRuCl6
1.0
6.143 0.000 0.000
-3.071 5.320 0.000
0.000 0.000 7.198
Tl Fe Ru Cl
1 1 1 6
Direct
0.000 0.000 0.000 Tl
0.667 0.333 0.500 Fe
0.333 0.667 0.500 Ru
0.372 0.010 0.680 Cl
0.372 0.362 0.320 Cl
0.638 0.010 0.320 Cl
0.638 0.628 0.680 Cl
0.990 0.362 0.680 Cl
0.990 0.628 0.320 Cl
```

density	4.05	Mg/m³
space group	No. 149
ΔE_f (raw)	-0.60	eV/atom

***

Entry 15:
A plane-wave DFT calculation with PBE-GGA was carried out for an optimized crystal structure of La3Sm2Y6Er.

Structure (POSCAR):
```
La3Sm2Y6Er
1.0
3.139 -5.438 0.000
3.139 5.438 0.000
-2.091 0.000 11.731
La Sm Y Er
3 2 6 1
Direct
0.000 0.000 0.000 La
0.333 0.667 0.000 La
0.667 0.333 0.000 La
0.166 0.834 0.500 Sm
0.834 0.166 0.500 Sm
0.086 0.418 0.254 Y
0.249 0.249 0.746 Y
0.418 0.086 0.254 Y
0.582 0.914 0.746 Y
0.751 0.751 0.254 Y
0.914 0.582 0.746 Y
0.500 0.500 0.500 Er
```

density	5.88	Mg/m³
space group	No. 12
energy relative to the elements	0.0160	eV/atom

***

Entry 16:
A plane-wave DFT calculation with PBE-GGA was carried out for an optimized crystal structure of BaScSe2N.

Structure (POSCAR):
```
BaScSe2N
1.0
5.866 0.000 0.000
0.000 5.866 0.000
0.000 0.000 4.301
Ba Sc Se N
1 1 2 1
Direct
0.000 0.000 0.000 Ba
0.500 0.500 0.500 Sc
0.000 0.500 0.000 Se
0.500 0.000 0.000 Se
0.000 0.000 0.500 N
```

distance to the lowest polymorph of the same formula	1656	meV/atom
density	3.97	Mg/m³
space group	No. 123
ΔE_f (raw)	0.62	eV/atom

***

Entry 17:
A plane-wave DFT calculation with PBE-GGA was carried out for an optimized crystal structure of YErGeRh.

Structure (POSCAR):
```
YErGeRh
1.0
4.164 0.000 0.000
0.000 4.010 0.000
0.000 0.000 10.571
Y Er Ge Rh
2 2 2 2
Direct
0.000 0.000 0.000 Y
0.000 0.500 0.500 Y
0.500 0.000 0.720 Er
0.500 0.500 0.220 Er
0.000 0.000 0.284 Ge
0.000 0.500 0.784 Ge
0.500 0.000 0.440 Rh
0.500 0.500 0.940 Rh
```

distance to the lowest polymorph of the same formula	0	meV/atom
density	8.12	Mg/m³
space group	No. 38
energy relative to the elements	-0.8706	eV/atom

***

Entry 18:
A plane-wave DFT calculation with PBE-GGA was carried out for an optimized crystal structure of Tb3Pr2Er7.

Structure (POSCAR):
```
Tb3Pr2Er7
1.0
6.322 0.000 0.000
0.000 3.512 0.000
-1.878 0.000 17.331
Tb Pr Er
3 2 7
Direct
0.000 0.000 0.000 Tb
0.048 0.500 0.658 Tb
0.952 0.500 0.342 Tb
0.442 0.000 0.326 Pr
0.558 0.000 0.674 Pr
0.225 0.500 0.162 Er
0.244 0.000 0.500 Er
0.272 0.000 0.835 Er
0.500 0.500 0.000 Er
0.728 0.000 0.165 Er
0.756 0.000 0.500 Er
0.775 0.500 0.838 Er
```

distance to the lowest polymorph of the same formula	0	meV/atom
density	8.33	Mg/m³
space group	No. 10
energy relative to the elements	0.0852	eV/atom

***

Entry 19:
A plane-wave DFT calculation with PBE-GGA was carried out for an optimized crystal structure of Nb8Zn4C3.

Structure (POSCAR):
```
Nb8Zn4C3
1.0
0.000 6.009 6.009
6.009 0.000 6.009
6.009 6.009 0.000
Nb Zn C
16 8 6
Direct
0.000 0.000 0.000 Nb
0.000 0.000 0.500 Nb
0.000 0.500 0.000 Nb
0.185 0.185 0.565 Nb
0.185 0.565 0.185 Nb
0.185 0.565 0.565 Nb
0.435 0.435 0.815 Nb
0.435 0.815 0.435 Nb
0.435 0.815 0.815 Nb
0.500 0.000 0.000 Nb
0.565 0.185 0.185 Nb
0.565 0.185 0.565 Nb
0.565 0.565 0.185 Nb
0.815 0.435 0.435 Nb
0.815 0.435 0.815 Nb
0.815 0.815 0.435 Nb
0.139 0.787 0.787 Zn
0.213 0.213 0.213 Zn
0.213 0.213 0.861 Zn
0.213 0.861 0.213 Zn
0.787 0.139 0.787 Zn
0.787 0.787 0.139 Zn
0.787 0.787 0.787 Zn
0.861 0.213 0.213 Zn
0.000 0.500 0.500 C
0.375 0.375 0.375 C
0.500 0.000 0.500 C
0.500 0.500 0.000 C
0.500 0.500 0.500 C
0.625 0.625 0.625 C
```

density	7.96	Mg/m³
space group	No. 227
energy relative to the elements	-0.1443	eV/atom

***

Entry 20:
A plane-wave DFT calculation with PBE-GGA was carried out for an optimized crystal structure of PaAgSnSe.

Structure (POSCAR):
```
PaAgSnSe
1.0
4.470 0.000 0.000
0.000 4.470 0.000
0.000 0.000 9.163
Pa Ag Sn Se
2 2 2 2
Direct
0.250 0.250 0.206 Pa
0.750 0.750 0.794 Pa
0.250 0.750 0.500 Ag
0.750 0.250 0.500 Ag
0.250 0.250 0.694 Sn
0.750 0.750 0.306 Sn
0.250 0.750 0.000 Se
0.750 0.250 0.000 Se
```

density	9.73	Mg/m³
space group	No. 129
ΔE_f (raw)	-0.56	eV/atom

***

Entry 21:
A plane-wave DFT calculation with PBE-GGA was carried out for an optimized crystal structure of Li3PCl.

Structure (POSCAR):
```
Li3PCl
1.0
4.475 0.000 0.000
0.000 4.475 0.000
0.000 0.000 4.475
Li P Cl
3 1 1
Direct
0.000 0.000 0.500 Li
0.000 0.500 0.000 Li
0.500 0.000 0.000 Li
0.500 0.500 0.500 P
0.000 0.000 0.000 Cl
```

distance to the lowest polymorph of the same formula	0	meV/atom
density	1.62	Mg/m³
space group	No. 221
ΔE_f (raw)	-0.67	eV/atom

***

Entry 22:
A plane-wave DFT calculation with PBE-GGA was carried out for an optimized crystal structure of TbEuTmTh.

Structure (POSCAR):
```
TbEuTmTh
1.0
8.104 0.000 0.000
0.000 8.104 0.000
0.000 0.000 8.104
Tb Eu Tm Th
4 4 4 4
Direct
0.000 0.000 0.000 Tb
0.000 0.500 0.500 Tb
0.500 0.000 0.500 Tb
0.500 0.500 0.000 Tb
0.250 0.250 0.250 Eu
0.250 0.750 0.750 Eu
0.750 0.250 0.750 Eu
0.750 0.750 0.250 Eu
0.000 0.000 0.500 Tm
0.000 0.500 0.000 Tm
0.500 0.000 0.000 Tm
0.500 0.500 0.500 Tm
0.250 0.250 0.750 Th
0.250 0.750 0.250 Th
0.750 0.250 0.250 Th
0.750 0.750 0.750 Th
```

density	8.88	Mg/m³
space group	No. 216
energy relative to the elements	0.1971	eV/atom

***

Entry 23:
A plane-wave DFT calculation with PBE-GGA was carried out for an optimized crystal structure of Dy2Be3Cu12Au.

Structure (POSCAR):
```
Dy2Be3Cu12Au
1.0
3.706 2.140 6.121
-3.706 2.140 6.121
0.000 -4.279 6.121
Dy Be Cu Au
2 3 12 1
Direct
0.101 0.101 0.101 Dy
0.899 0.899 0.899 Dy
0.000 0.500 0.500 Be
0.500 0.000 0.500 Be
0.500 0.500 0.000 Be
0.079 0.637 0.637 Cu
0.160 0.160 0.609 Cu
0.160 0.609 0.160 Cu
0.363 0.363 0.921 Cu
0.363 0.921 0.363 Cu
0.391 0.840 0.840 Cu
0.609 0.160 0.160 Cu
0.637 0.079 0.637 Cu
0.637 0.637 0.079 Cu
0.840 0.391 0.840 Cu
0.840 0.840 0.391 Cu
0.921 0.363 0.363 Cu
0.500 0.500 0.500 Au
```

density	7.48	Mg/m³
space group	No. 166
energy relative to the elements	0.3214	eV/atom